[1]
SrCdRe2 | PBE | relaxed

Unit cell a=4.771 b=4.771 c=4.771 alpha=60.00 beta=60.00 gamma=60.00
Atoms (fractional coordinates):
Re1 0.250 0.250 0.250
Cd1 0.500 0.500 0.500
Re2 0.000 0.000 0.000
Sr1 0.750 0.750 0.750

density = 12.38 g/cm³
E = -5.8782 eV per atom
magnetic moment = 0.0014 μB/atom

[2]
Sc2Ag2O5 | PBE | relaxed

Unit cell a=6.793 b=4.054 c=4.054 alpha=90.00 beta=90.00 gamma=90.00
Site moments in Bohr magnetons follow the coordinates.
Atoms (fractional coordinates):
Sc1 0.000 0.000 0.000  0.02
Ag1 0.191 0.500 0.500  0.00
Ag2 0.809 0.500 0.500  0.00
O1 0.207 0.000 0.500  0.00
Sc2 0.500 0.000 0.000  0.09
O2 0.207 0.500 0.000  0.00
O3 0.793 0.500 0.000  0.00
O4 0.793 0.000 0.500  0.00
O5 0.500 0.500 0.500  -0.01

density = 5.73 g/cm³
E = -5.7977 eV per atom
magnetic moment = 0.0133 μB/atom
distance to the lowest polymorph of the same formula = 6.17 eV/f.u.